Compound: CaAlIn
Source: the Alexandria database
Functional: PBE
Structure: relaxed

Computed properties:
**Density**: 4.05 g/cm³
**E_form**: -4.2 kcal/mol of atoms
**DOS(E_F)**: 0.53 states/eV per cell

```
data_CaAlIn
_chemical_formula_sum 'Ca2 Al2 In2'
_space_group_name_H-M_alt 'I 4 m m'
_space_group_IT_number 107
_space_group_name_Hall 'I 4 -2'
_cell_length_a 3.396
_cell_length_b 3.396
_cell_length_c 12.929
_cell_angle_alpha 90.00
_cell_angle_beta 90.00
_cell_angle_gamma 90.00
loop_
_atom_site_label
_atom_site_fract_x
_atom_site_fract_y
_atom_site_fract_z
Ca1 0.000 0.000 0.000
Al1 0.000 0.000 0.671
In1 0.000 0.000 0.313
```

---

Compound: Ti2CoPb
Source: the Alexandria database
Functional: PBE
Structure: relaxed

Computed properties:
**Density**: 8.68 g/cm³
**E_form**: -0.9 kcal/mol of atoms
**DOS(E_F)**: 4.13 states/eV per cell

```
data_Ti2CoPb
_chemical_formula_sum 'Ti2 Co1 Pb1'
_space_group_name_H-M_alt 'P 4/m m m'
_space_group_IT_number 123
_space_group_name_Hall '-P 4 2'
_cell_length_a 2.991
_cell_length_b 2.991
_cell_length_c 7.739
_cell_angle_alpha 90.00
_cell_angle_beta 90.00
_cell_angle_gamma 90.00
loop_
_atom_site_label
_atom_site_fract_x
_atom_site_fract_y
_atom_site_fract_z
Ti1 0.000 0.000 0.196
Co1 0.500 0.500 0.000
Pb1 0.500 0.500 0.500
```

---

Compound: SrBi3Cl
Source: the Alexandria database
Functional: PBE
Structure: relaxed

Computed properties:
**Density**: 5.28 g/cm³
**DOS(E_F)**: 5.61 states/eV per cell
**E above lowest polymorph**: 641 meV per atom
**E_form (uncorrected)**: 596 meV per atom

```
data_SrBi3Cl
_chemical_formula_sum 'Sr1 Bi3 Cl1'
_space_group_name_H-M_alt 'P m -3 m'
_space_group_IT_number 221
_space_group_name_Hall '-P 4 2 3'
_cell_length_a 6.178
_cell_length_b 6.178
_cell_length_c 6.178
_cell_angle_alpha 90.00
_cell_angle_beta 90.00
_cell_angle_gamma 90.00
loop_
_atom_site_label
_atom_site_fract_x
_atom_site_fract_y
_atom_site_fract_z
Sr1 0.000 0.000 0.000
Bi1 0.000 0.000 0.500
Cl1 0.500 0.500 0.500
```

---

Compound: AlTlTe2
Source: the Alexandria database
Functional: PBE
Structure: relaxed

Computed properties:
**Density**: 7.23 g/cm³
**DOS(E_F)**: 2.64 states/eV per cell
**E_form (uncorrected)**: 3 meV per atom

```
data_AlTlTe2
_chemical_formula_sum 'Al1 Tl1 Te2'
_space_group_name_H-M_alt 'P 4/m m m'
_space_group_IT_number 123
_space_group_name_Hall '-P 4 2'
_cell_length_a 3.713
_cell_length_b 3.713
_cell_length_c 8.109
_cell_angle_alpha 90.00
_cell_angle_beta 90.00
_cell_angle_gamma 90.00
loop_
_atom_site_label
_atom_site_fract_x
_atom_site_fract_y
_atom_site_fract_z
Al1 0.000 0.000 0.000
Tl1 0.000 0.000 0.500
Te1 0.500 0.500 0.206
```

---

Compound: LiTi2Nb
Source: the Alexandria database
Functional: PBE
Structure: relaxed

Computed properties:
**Density**: 4.64 g/cm³
**E_form**: 4.6 kcal/mol of atoms
**DOS(E_F)**: 5.41 states/eV per cell
**E above lowest polymorph**: 0 meV per atom

```
data_LiTi2Nb
_chemical_formula_sum 'Li1 Ti2 Nb1'
_space_group_name_H-M_alt 'P 4/m m m'
_space_group_IT_number 123
_space_group_name_Hall '-P 4 2'
_cell_length_a 3.292
_cell_length_b 3.292
_cell_length_c 6.454
_cell_angle_alpha 90.00
_cell_angle_beta 90.00
_cell_angle_gamma 90.00
loop_
_atom_site_label
_atom_site_fract_x
_atom_site_fract_y
_atom_site_fract_z
Li1 0.000 0.000 0.000
Ti1 0.500 0.500 0.268
Nb1 0.000 0.000 0.500
```

---

Compound: Ca3WC
Source: the Alexandria database
Functional: PBE
Structure: relaxed

Computed properties:
**Density**: 4.14 g/cm³
**E_form**: 24.5 kcal/mol of atoms
**DOS(E_F)**: 3.65 states/eV per cell
**E above lowest polymorph**: 0 meV per atom

```
data_Ca3WC
_chemical_formula_sum 'Ca3 W1 C1'
_space_group_name_H-M_alt 'P m -3 m'
_space_group_IT_number 221
_space_group_name_Hall '-P 4 2 3'
_cell_length_a 5.024
_cell_length_b 5.024
_cell_length_c 5.024
_cell_angle_alpha 90.00
_cell_angle_beta 90.00
_cell_angle_gamma 90.00
loop_
_atom_site_label
_atom_site_fract_x
_atom_site_fract_y
_atom_site_fract_z
Ca1 0.000 0.000 0.500
W1 0.500 0.500 0.500
C1 0.000 0.000 0.000
```

---

Compound: BaReMo2
Source: the Alexandria database
Functional: PBE
Structure: relaxed

Computed properties:
**Density**: 11.25 g/cm³
**E_form**: 30.9 kcal/mol of atoms
**DOS(E_F)**: 20.36 states/eV per cell
**E above lowest polymorph**: 593 meV per atom

```
data_BaReMo2
_chemical_formula_sum 'Ba4 Re4 Mo8'
_space_group_name_H-M_alt 'F -4 3 m'
_space_group_IT_number 216
_space_group_name_Hall 'F -4 2 3'
_cell_length_a 6.726
_cell_length_b 6.726
_cell_length_c 6.726
_cell_angle_alpha 90.00
_cell_angle_beta 90.00
_cell_angle_gamma 90.00
loop_
_atom_site_label
_atom_site_fract_x
_atom_site_fract_y
_atom_site_fract_z
Ba1 0.000 0.000 0.000
Re1 0.250 0.250 0.750
Mo1 0.000 0.000 0.500
Mo2 0.250 0.250 0.250
```

---

Compound: Si2Pt2Rh
Source: the Alexandria database
Functional: PBE
Structure: relaxed

Computed properties:
**Density**: 12.66 g/cm³
**DOS(E_F)**: 3.97 states/eV per cell
**E_form (uncorrected)**: -507 meV per atom

```
data_Si2Pt2Rh
_chemical_formula_sum 'Si4 Pt4 Rh2'
_space_group_name_H-M_alt 'P 4/m b m'
_space_group_IT_number 127
_space_group_name_Hall '-P 4 2ab'
_cell_length_a 6.696
_cell_length_b 6.696
_cell_length_c 3.215
_cell_angle_alpha 90.00
_cell_angle_beta 90.00
_cell_angle_gamma 90.00
loop_
_atom_site_label
_atom_site_fract_x
_atom_site_fract_y
_atom_site_fract_z
Si1 0.151 0.349 0.000
Pt1 0.146 0.646 0.500
Rh1 0.000 0.000 0.000
```